(1)
First-principles (PBE-GGA) data for a relaxed structure of Mg3NiAu, as listed in Alexandria.

Geometry as extended XYZ:
```
5
Lattice="4.7211 0.0000 0.0000 0.0000 4.7211 0.0000 0.0000 0.0000 4.7211" Properties=species:S:1:pos:R:3 pbc="T T T"
Mg 0.0000 0.0000 2.3606
Mg 0.0000 2.3606 0.0000
Mg 2.3606 0.0000 0.0000
Ni 0.0000 0.0000 0.0000
Au 2.3606 2.3606 2.3606
```

Calculated values
The total energy comes out at -2.704 eV/atom. Its symmetry is Pm-3m. For the formation energy, the calculation gives 0.06 eV per atom. The calculation puts the volume at 105.2 Å³ per cell.



(2)
First-principles (PBE-GGA) data for a relaxed structure of HfBRh3, as listed in Alexandria.

Geometry as extended XYZ:
```
20
Lattice="4.8297 -5.7681 0.0000 4.8297 5.7681 0.0000 -0.1937 0.0000 5.1534" Properties=species:S:1:pos:R:3 pbc="T T T"
Hf 1.3473 0.9303 0.3608
Hf 1.2505 -0.9303 2.9375
Hf 8.2153 0.9303 2.2159
Hf 8.1184 -0.9303 4.7926
B 4.7813 2.3316 1.2884
B 4.6844 0.7354 3.8651
B 4.7813 -0.7354 1.2884
B 4.6844 -2.3316 3.8651
Rh 3.6219 3.8603 2.1987
Rh 3.4236 2.1645 4.7029
Rh 5.9407 3.8603 0.3780
Rh 3.4961 0.7780 2.0789
Rh 3.3992 -0.7780 4.6556
Rh 5.9453 2.1645 3.0272
Rh 3.5204 -2.1645 2.1262
Rh 6.0665 0.7780 0.4978
Rh 5.9696 -0.7780 3.0745
Rh 3.5250 -3.8603 4.7754
Rh 6.0421 -2.1645 0.4505
Rh 5.8438 -3.8603 2.9547
```

Calculated values
The total energy comes out at -8.248 eV/atom. Its symmetry is C2/c. For the formation energy, the calculation gives -0.51 eV per atom. The calculation puts the volume at 287.1 Å³ per cell.



(3)
First-principles (PBE-GGA) data for a relaxed structure of SbO3F6, as listed in Alexandria.

Geometry as extended XYZ:
```
10
Lattice="5.3742 0.0000 0.0000 0.6765 5.4489 0.0000 0.1736 2.1272 5.2906" Properties=species:S:1:pos:R:3 pbc="T T T"
Sb 0.0000 0.0000 0.0000
O 2.4768 2.9102 2.3156
O 3.1263 3.9569 2.5344
O 3.5243 4.3903 3.6478
F 0.9804 3.5536 4.2544
F 1.7410 5.9449 1.5214
F 2.2290 6.3783 4.7378
F 4.0130 1.2586 0.5481
F 4.4634 1.6908 3.7653
F 5.2228 4.0727 1.0450
```

Calculated values
The total energy comes out at -4.277 eV/atom. Its symmetry is P1. The calculation puts the uncorrected formation energy at -1.254 eV per atom. The calculation puts the volume at 154.9 Å³ per cell.



(4)
First-principles (PBE-GGA) data for a relaxed structure of Cd2Au2I, as listed in Alexandria.

Geometry as extended XYZ:
```
10
Lattice="7.9756 0.0000 0.0000 0.0000 7.9756 0.0000 0.0000 0.0000 3.6610" Properties=species:S:1:pos:R:3 pbc="T T T"
Cd 1.3265 2.6613 0.0000
Cd 2.6613 6.6491 0.0000
Cd 5.3143 1.3265 0.0000
Cd 6.6491 5.3143 0.0000
Au 1.0192 5.0070 1.8305
Au 2.9686 1.0192 1.8305
Au 5.0070 6.9564 1.8305
Au 6.9564 2.9686 1.8305
I 0.0000 0.0000 1.8305
I 3.9878 3.9878 1.8305
```

Calculated values
The total energy comes out at -1.967 eV/atom. Its symmetry is P4/mbm. The calculation puts the uncorrected formation energy at 0.020 eV per atom. The calculation puts the volume at 232.9 Å³ per cell.



(5)
First-principles (PBE-GGA) data for a relaxed structure of Ta2PbCl, as listed in Alexandria.

Geometry as extended XYZ:
```
4
Lattice="2.9797 0.0000 0.0000 0.0000 5.0261 0.0000 0.0000 0.0000 5.4556" Properties=species:S:1:pos:R:3 pbc="T T T"
Ta 0.0000 0.0000 0.0000
Ta 1.4898 0.0000 2.7278
Pb 0.0000 2.5130 2.7278
Cl 1.4898 2.5130 0.0000
```

Calculated values
The total energy comes out at -6.756 eV/atom. Its symmetry is Pmmm. The calculation puts the uncorrected formation energy at 0.560 eV per atom. The calculation puts the volume at 81.7 Å³ per cell.



(6)
First-principles (PBE-GGA) data for a relaxed structure of Th2SbS2, as listed in Alexandria.

Geometry as extended XYZ:
```
5
Lattice="-2.2203 2.2203 6.9629 2.2203 -2.2203 6.9629 2.2203 2.2203 -6.9629" Properties=species:S:1:pos:R:3 pbc="T T T"
Th 0.0000 0.0000 1.8028
Th 0.0000 0.0000 12.1229
Sb 0.0000 0.0000 6.9629
S 2.2203 0.0000 3.4814
S 0.0000 2.2203 3.4814
```

Calculated values
The total energy comes out at -6.826 eV/atom. Its symmetry is I4/mmm. The calculation puts the uncorrected formation energy at -1.382 eV per atom. The calculation puts the volume at 137.3 Å³ per cell.